## 1
Below is a geometry-optimized Pt4Au structure, with properties calculated at the PBE-GGA level.

a b c (Å): 4.883 4.883 4.883
angles (deg): 90.00 90.00 90.00
Fractional positions:
Pt (0.000, 0.000, 0.000)
Pt (0.000, 0.500, 0.500)
Pt (0.500, 0.000, 0.500)
Pt (0.500, 0.500, 0.000)
Au (0.500, 0.500, 0.500)

Values from the calculation:
- Spin magnetization: 0.000 μB/f.u.
- SG: Pm-3m
- Crystal system: cubic

---

## 2
Below is a geometry-optimized Pt4Au structure, with properties calculated at the PBE-GGA level.

a b c (Å): 6.978 6.978 6.978
angles (deg): 149.01 149.01 44.40
Fractional positions:
Pt (0.099, 0.099, 0.000)
Pt (0.250, 0.750, 0.500)
Pt (0.750, 0.250, 0.500)
Pt (0.901, 0.901, 0.000)
Au (0.500, 0.500, 0.000)

Values from the calculation:
- Spin magnetization: 0.003 μB/f.u.
- SG: I4/mmm
- Crystal system: tetragonal

---

Result of the stability comparison: 2 is the most stable of them.

---

## 1
Below is a geometry-optimized Pt3Au5 structure, with properties calculated at the PBE-GGA level.

a b c (Å): 7.922 7.922 5.277
angles (deg): 90.00 90.00 120.00
Fractional positions:
Pt (0.000, 0.405, 0.250)
Pt (0.000, 0.595, 0.750)
Pt (0.405, 0.000, 0.250)
Pt (0.405, 0.405, 0.750)
Pt (0.595, 0.000, 0.750)
Pt (0.595, 0.595, 0.250)
Au (0.000, 0.224, 0.750)
Au (0.000, 0.776, 0.250)
Au (0.224, 0.000, 0.750)
Au (0.224, 0.224, 0.250)
Au (0.333, 0.667, 0.000)
Au (0.333, 0.667, 0.500)
Au (0.667, 0.333, 0.000)
Au (0.667, 0.333, 0.500)
Au (0.776, 0.000, 0.250)
Au (0.776, 0.776, 0.750)

Values from the calculation:
- Spin magnetization: 0.000 μB/f.u.
- SG: P6_3/mcm
- Crystal system: hexagonal

---

## 2
Below is a geometry-optimized Pt3Au5 structure, with properties calculated at the PBE-GGA level.

a b c (Å): 7.836 7.836 7.828
angles (deg): 96.23 96.23 141.30
Fractional positions:
Pt (0.169, 0.831, 0.000)
Pt (0.264, 0.736, 0.500)
Pt (0.419, 0.419, 0.658)
Pt (0.581, 0.581, 0.342)
Pt (0.736, 0.264, 0.500)
Pt (0.831, 0.169, 0.000)
Au (0.023, 0.223, 0.353)
Au (0.223, 0.023, 0.353)
Au (0.230, 0.230, 0.956)
Au (0.253, 0.595, 0.809)
Au (0.405, 0.747, 0.191)
Au (0.595, 0.253, 0.809)
Au (0.747, 0.405, 0.191)
Au (0.770, 0.770, 0.044)
Au (0.777, 0.977, 0.647)
Au (0.977, 0.777, 0.647)

Values from the calculation:
- Spin magnetization: 0.000 μB/f.u.
- SG: C2/m
- Crystal system: monoclinic

---

Result of the stability comparison: 2 is the most stable of them.

---

## 1
Below is a geometry-optimized Pt5Au structure, with properties calculated at the PBE-GGA level.

a b c (Å): 2.817 2.817 12.135
angles (deg): 90.00 90.00 90.00
Fractional positions:
Pt (0.000, 0.000, 0.000)
Pt (0.000, 0.000, 0.325)
Pt (0.000, 0.000, 0.675)
Pt (0.500, 0.500, 0.163)
Pt (0.500, 0.500, 0.837)
Au (0.500, 0.500, 0.500)

Values from the calculation:
- Spin magnetization: 0.000 μB/f.u.
- SG: P4/mmm
- Crystal system: tetragonal

---

## 2
Below is a geometry-optimized Pt5Au structure, with properties calculated at the PBE-GGA level.

a b c (Å): 4.819 7.424 7.424
angles (deg): 21.42 90.00 90.00
Fractional positions:
Pt (0.000, 0.000, 0.000)
Pt (0.000, 0.331, 0.331)
Pt (0.000, 0.666, 0.666)
Pt (0.500, 0.228, 0.228)
Pt (0.500, 0.565, 0.565)
Au (0.500, 0.897, 0.897)

Values from the calculation:
- Spin magnetization: 0.001 μB/f.u.
- SG: Amm2
- Crystal system: orthorhombic

---

Result of the stability comparison: 1 is the most stable of them.